Compound: CuSi2Os2
Source: Alexandria
Functional: PBE
Structure: relaxed

## Properties
Total moment = 0.00 μB per cell
Uncorrected formation energy = -0.1029 eV per atom
ΔE to the lowest computed polymorph = 20 meV/atom
Final energy = -75.833 eV for the cell shown
D(E_F) = 0.43 states/eV/atom

extended XYZ file:
```
10
Lattice="-1.5130 1.7274 -6.5527 -4.4075 -5.3508 -0.3929 -2.0993 1.6615 0.9227" Properties=species:S:1:pos:R:3 pbc="T T T"
Si -4.3036 -3.9605 -2.6598
Si -4.1374 -1.9766 -5.8539
Si -1.6169 0.3371 -4.2857
Si -1.7831 -1.6468 -1.0916
Os -4.1500 -2.3933 -0.7868
Os -5.7753 -2.5844 -4.1406
Os -3.8699 0.4315 -5.2359
Os -2.2445 0.6226 -1.8822
Cu 0.0000 0.0000 0.0000
Cu -2.9603 -1.8117 -3.4728
```



Compound: BaTi2Te2
Source: Alexandria
Functional: PBE
Structure: relaxed

## Properties
Total moment = 0.00 μB per cell
Uncorrected formation energy = -0.8088 eV per atom
Final energy = -28.040 eV for the cell shown
D(E_F) = 1.21 states/eV/atom

extended XYZ file:
```
5
Lattice="4.1594 0.0000 0.0000 0.0000 4.1594 0.0000 2.0797 2.0797 7.7459" Properties=species:S:1:pos:R:3 pbc="T T T"
Te 2.0797 2.0797 1.9869
Te 4.1594 4.1594 5.7590
Ba 0.0000 0.0000 0.0000
Ti 4.1594 2.0797 3.8730
Ti 2.0797 4.1594 3.8730
```



Compound: ZnSiTcPt
Source: Alexandria
Functional: PBE
Structure: relaxed

## Properties
Total moment = 0.00 μB per cell
Uncorrected formation energy = -0.3499 eV per atom
Final energy = -24.503 eV for the cell shown
D(E_F) = 0.49 states/eV/atom

extended XYZ file:
```
4
Lattice="-1.8648 2.6182 2.8066 -1.8905 -1.5960 3.4768 1.7491 0.6009 3.8456" Properties=species:S:1:pos:R:3 pbc="T T T"
Zn 0.0000 0.0000 0.0000
Si -1.0031 0.8115 5.0645
Tc -0.5015 0.4058 2.5322
Pt -1.5046 1.2173 7.5967
```



Compound: Li3Ga2Au
Source: Alexandria
Functional: PBE
Structure: relaxed

## Properties
Total moment = 0.00 μB per cell
Formation energy from the elements = -0.437 eV per atom
Final energy = -35.385 eV for the cell shown
D(E_F) = 0.29 states/eV/atom

extended XYZ file:
```
12
Lattice="4.2954 0.3477 0.5740 -0.1699 5.9966 -2.3617 1.2920 -0.4596 7.5401" Properties=species:S:1:pos:R:3 pbc="T T T"
Li 1.0084 2.3982 -0.7668
Li 3.1172 3.9461 -1.0209
Li 0.7499 1.5598 1.7685
Li 2.4786 5.6081 3.1231
Li 2.9389 0.2767 2.6293
Li 4.6676 4.3249 3.9839
Ga 2.8297 3.3222 1.6182
Ga 0.6398 4.6381 0.7445
Ga 4.7777 1.2466 5.0079
Ga 2.5878 2.5625 4.1342
Au 3.1954 1.1838 0.0670
Au 0.9301 5.1606 -1.8547
```



Compound: MgAuBr2
Source: Alexandria
Functional: PBE
Structure: relaxed

## Properties
Total moment = 0.00 μB per cell
Uncorrected formation energy = -0.5875 eV per atom
ΔE to the lowest computed polymorph = 37 meV/atom
Final energy = -10.568 eV for the cell shown
D(E_F) = 0.14 states/eV/atom

extended XYZ file:
```
4
Lattice="-0.6872 2.3009 -7.6677 0.0357 -4.0737 -6.9255 -2.8108 1.6526 7.3436" Properties=species:S:1:pos:R:3 pbc="T T T"
Au -1.6482 -1.9196 -5.6279
Br -0.5977 -1.6263 -13.3876
Br -1.8472 1.7095 -2.3620
Mg -0.3465 -0.9429 -7.7620
```



Compound: AsSeBr2F
Source: Alexandria
Functional: PBE
Structure: relaxed

## Properties
Total moment = 1.95 μB per cell
Uncorrected formation energy = 0.1367 eV per atom
ΔE to the lowest computed polymorph = 0 meV/atom
Final energy = -12.667 eV for the cell shown
D(E_F) = 1.30 states/eV/atom

extended XYZ file:
```
5
Lattice="-2.5941 -2.2576 3.8590 1.1305 -4.6477 -1.9592 4.4154 -0.1421 2.8850" Properties=species:S:1:pos:R:3 pbc="T T T"
As 0.0000 0.0000 0.0000
Se 2.2077 -0.0711 1.4425
Br 0.5652 -2.3239 -0.9796
Br -1.2970 -1.1288 1.9295
F 1.4759 -3.5237 2.3924
```